# 1
This record from Alexandria describes a relaxed structure of ReTcW2. The functional is GGA-PBEsol.

```
ReTcW2
1.0
3.110 0.000 0.000
0.000 3.110 0.000
0.000 0.000 6.227
Re Tc W
1 1 2
Cartesian
0.000 0.000 0.000 Re
0.000 0.000 3.114 Tc
1.555 1.555 1.558 W
1.555 1.555 4.669 W
```

Values from the calculation:
Formation energy from the elements = 90 meV per atom
Total energy = -51.854 eV/cell
Total magnetic moment = 0.00 μB/atom
Calculated volume = 60.2 Å³/cell
E above lowest polymorph = 0.004 eV/atom

# 2
This record from Alexandria describes a relaxed structure of CuBSe2. The functional is GGA-PBEsol.

```
CuBSe2
1.0
5.242 0.000 0.000
0.000 5.242 0.000
0.000 0.000 9.645
Cu B Se
4 4 8
Cartesian
0.000 0.000 0.000 Cu
0.000 2.621 2.411 Cu
2.621 0.000 7.234 Cu
2.621 2.621 4.823 Cu
0.000 0.000 4.823 B
0.000 2.621 7.234 B
2.621 0.000 2.411 B
2.621 2.621 0.000 B
1.076 1.311 6.028 Se
1.311 3.697 8.439 Se
1.311 4.166 3.617 Se
1.545 1.311 1.206 Se
3.697 3.932 1.206 Se
3.932 1.076 3.617 Se
3.932 1.545 8.439 Se
4.166 3.932 6.028 Se
```

Values from the calculation:
Total energy = -78.361 eV/cell
Total magnetic moment = 0.00 μB/atom
ΔE_f (raw) = -0.13 eV per atom
Calculated volume = 265.1 Å³/cell

# 3
This record from Alexandria describes a relaxed structure of PIrW2. The functional is GGA-PBEsol.

```
PIrW2
1.0
2.772 0.000 0.000
0.000 3.926 0.000
-1.167 0.000 5.270
P Ir W
1 1 2
Cartesian
0.000 0.000 0.000 P
-0.583 0.000 2.635 Ir
0.848 1.963 1.247 W
0.758 1.963 4.022 W
```

Values from the calculation:
Formation energy from the elements = -50 meV per atom
Total energy = -43.429 eV/cell
Total magnetic moment = 0.00 μB/atom
Calculated volume = 57.4 Å³/cell

# 4
This record from Alexandria describes a relaxed structure of Si2SbPOs. The functional is GGA-PBEsol.

```
Si2SbPOs
1.0
4.504 0.000 0.000
0.000 4.504 0.000
0.000 0.000 5.232
Si Sb P Os
2 1 1 1
Cartesian
0.000 2.252 0.000 Si
2.252 0.000 0.000 Si
0.000 0.000 2.616 Sb
2.252 2.252 2.616 P
0.000 0.000 0.000 Os
```

Values from the calculation:
Total energy = -31.196 eV/cell
Total magnetic moment = 0.00 μB/atom
ΔE_f (raw) = 0.57 eV per atom
Calculated volume = 106.2 Å³/cell

- total energy of number 3 (PIrW2)?
  -43.429 eV/cell